1.
A plane-wave DFT calculation with PBE was carried out for a geometry-optimized Th2Zn6Cd structure.

The structure in POSCAR format:
```
Th2Zn6Cd
1.0
-1.6754 2.8846 0.6498
-3.2699 -3.3522 6.4526
3.6628 0.5372 7.0612
Th Zn Cd
2 6 1
Cartesian
0.1310 -0.9383 4.5044
0.2620 -1.8768 9.0094
-3.0514 -0.8278 4.6939
-2.9249 -1.7361 9.0576
1.7690 0.8973 9.4697
-1.8685 -0.6538 6.9740
1.6425 1.8056 5.1059
0.5861 0.7233 7.1895
0.0000 0.0000 0.0000
```

symmetry = P6/mmm
calculated density = 8.600 Mg/m³
final energy = -24.63 eV/cell
energy relative to the elements = -0.137 eV/atom


2.
A plane-wave DFT calculation with PBE was carried out for a geometry-optimized Th2ZrCd structure.

The structure in POSCAR format:
```
Th2ZrCd
1.0
3.3756 0.0000 0.0000
0.0000 3.3756 0.0000
0.0000 0.0000 9.8967
Zr Th Cd
1 2 1
Cartesian
1.6878 1.6878 0.0000
0.0000 0.0000 7.4586
0.0000 0.0000 2.4381
1.6878 1.6878 4.9484
```

symmetry = P4/mmm
calculated density = 9.832 Mg/m³
final energy = -24.22 eV/cell
energy relative to the elements = 0.020 eV/atom


3.
A plane-wave DFT calculation with PBE was carried out for a geometry-optimized ThZr2Cd structure.

The structure in POSCAR format:
```
ThZr2Cd
1.0
-1.2865 2.4648 2.4002
-3.0643 0.3439 -1.9957
-3.0545 -5.2762 3.7808
Zr Th Cd
2 1 1
Cartesian
-2.3157 -4.0001 2.8664
-0.7388 -1.2762 0.9145
-3.7027 -1.2338 2.0927
-2.1754 1.4043 0.2023
```

symmetry = P4/mmm
calculated density = 9.040 Mg/m³
final energy = -25.38 eV/cell
energy relative to the elements = 0.013 eV/atom


4.
A plane-wave DFT calculation with PBE was carried out for a geometry-optimized Th2ZrCd6 structure.

The structure in POSCAR format:
```
Th2ZrCd6
1.0
3.3121 -0.0001 0.0009
0.0012 7.5894 4.3644
-0.0003 0.0154 8.7548
Th Zr Cd
2 1 6
Cartesian
0.0003 2.5346 4.3725
3.3127 5.0701 8.7476
0.0000 0.0000 0.0000
1.6543 5.1298 2.9508
1.6597 7.5940 7.2019
1.6587 2.4748 10.1693
1.6568 5.1343 5.7880
1.6533 0.0106 5.9182
1.6562 2.4704 7.3321
```

symmetry = P6/mmm
calculated density = 9.289 Mg/m³
final energy = -29.94 eV/cell
energy relative to the elements = -0.118 eV/atom


5.
A plane-wave DFT calculation with PBE was carried out for a geometry-optimized ThZr2Cd structure.

The structure in POSCAR format:
```
ThZr2Cd
1.0
5.1560 0.0000 0.0000
2.5780 4.4652 0.0000
2.5780 1.4884 4.2092
Zr Th Cd
2 1 1
Cartesian
7.7340 4.4652 3.1575
2.5780 1.4884 1.0517
0.0000 0.0000 0.0000
5.1560 2.9768 2.1046
```

symmetry = Fm-3m
calculated density = 9.029 Mg/m³
final energy = -24.99 eV/cell
energy relative to the elements = 0.110 eV/atom


6.
A plane-wave DFT calculation with PBE was carried out for a geometry-optimized ThZrCd4 structure.

The structure in POSCAR format:
```
ThZrCd4
1.0
5.0224 -0.0015 0.0006
0.0016 6.0966 2.2065
-0.0011 0.0708 9.3041
Th Zr Cd
2 2 8
Cartesian
3.7675 3.8101 3.7536
1.2554 2.3558 7.7575
3.7668 0.8202 2.4936
1.2562 5.3457 9.0175
1.2564 4.9456 5.6570
1.2570 5.8729 2.9055
3.7674 4.4494 7.0238
3.7667 3.3943 9.7293
3.7665 1.2203 5.8542
1.2556 1.7165 4.4873
3.7659 0.2930 8.6057
1.2562 2.7716 1.7818
```

symmetry = P2_1/m
calculated density = 9.035 Mg/m³
final energy = -40.45 eV/cell
energy relative to the elements = -0.099 eV/atom


- Which of these has the highest final energy?
  Th2ZrCd


- The lowest calculated density belongs to which entry?
  Th2Zn6Cd


- Which value of calculated density does entry 6 give?
  9.035 Mg/m³